1.
# CaCu3F (GGA-PBE, relaxed)
data_CaCu3F
_symmetry_space_group_name_H-M 'P m -3 m'
_symmetry_Int_Tables_number 221
_symmetry_space_group_name_Hall '-P 4 2 3'
_cell_length_a 4.402
_cell_length_b 4.402
_cell_length_c 4.402
_cell_angle_alpha 90.00
_cell_angle_beta 90.00
_cell_angle_gamma 90.00
loop_
_atom_site_label
_atom_site_fract_x
_atom_site_fract_y
_atom_site_fract_z
Ca1 0.000 0.000 0.000
Cu1 0.000 0.500 0.500
F1 0.500 0.500 0.500
# - Uncorrected energy: -3.244 eV/atom
# - Spin magnetization: 0.00 μB/cell
# - Energy above the most stable polymorph in this dataset: 0.000 kcal/mol of atoms
# - Energy relative to the elements, uncorrected: -0.011 eV per atom
# - Density of states at the Fermi level: 2.1 states/eV per cell


2.
# Ca2CuF (GGA-PBE, relaxed)
data_Ca2CuF
_symmetry_space_group_name_H-M 'I -4 2 d'
_symmetry_Int_Tables_number 122
_symmetry_space_group_name_Hall 'I -4 2bw'
_cell_length_a 6.720
_cell_length_b 6.720
_cell_length_c 8.137
_cell_angle_alpha 90.00
_cell_angle_beta 90.00
_cell_angle_gamma 90.00
loop_
_atom_site_label
_atom_site_fract_x
_atom_site_fract_y
_atom_site_fract_z
Ca1 0.188 0.250 0.125
Cu1 0.000 0.000 0.500
F1 0.000 0.000 0.000
# - Uncorrected energy: -3.801 eV/atom
# - Spin magnetization: 0.00 μB/cell
# - Energy above the most stable polymorph in this dataset: 0.000 kcal/mol of atoms
# - Energy relative to the elements, uncorrected: -1.309 eV per atom
# - Density of states at the Fermi level: 1.5 states/eV per cell


3.
# CaCuF5 (GGA-PBE, relaxed)
data_CaCuF5
_symmetry_space_group_name_H-M 'P 1 21/c 1'
_symmetry_Int_Tables_number 14
_symmetry_space_group_name_Hall '-P 2ybc'
_cell_length_a 5.468
_cell_length_b 10.060
_cell_length_c 7.722
_cell_angle_alpha 90.00
_cell_angle_beta 110.37
_cell_angle_gamma 90.00
loop_
_atom_site_label
_atom_site_fract_x
_atom_site_fract_y
_atom_site_fract_z
Ca1 0.029 0.020 0.256
Cu1 0.385 0.247 0.598
F1 0.102 0.120 0.551
F2 0.137 0.112 0.007
F3 0.340 0.635 0.363
F4 0.344 0.203 0.337
F5 0.387 0.605 0.812
# - Uncorrected energy: -4.659 eV/atom
# - Spin magnetization: 6.52 μB/cell
# - Energy above the most stable polymorph in this dataset: 0.159 kcal/mol of atoms
# - Energy relative to the elements, uncorrected: -2.451 eV per atom
# - Density of states at the Fermi level: 13.7 states/eV per cell